[1]
Material: LiGdErGa
Method: DFT, PBE-GGA
State: relaxed

Cell lengths 5.100, 5.100, 5.100 Å; angles 60.00, 60.00, 60.00 degrees
Fractional positions:
Er  0.000  0.000  0.000
Li  0.750  0.750  0.750
Ga  0.250  0.250  0.250
Gd  0.500  0.500  0.500

## Properties
**Total energy**: -6.21 eV/atom
**Energy of formation**: -1.3 eV/f.u.

[2]
Material: GdErLuGa
Method: DFT, PBE-GGA
State: relaxed

Cell lengths 5.276, 5.276, 5.276 Å; angles 60.00, 60.00, 60.00 degrees
Fractional positions:
Gd  0.500  0.500  0.500
Er  0.000  0.000  0.000
Lu  0.750  0.750  0.750
Ga  0.250  0.250  0.250

## Properties
**Total energy**: -6.66 eV/atom
**Energy of formation**: -0.5 eV/f.u.

[3]
Material: GdErMnGa
Method: DFT, PBE-GGA
State: relaxed

Cell lengths 5.040, 5.040, 5.040 Å; angles 60.00, 60.00, 60.00 degrees
Fractional positions:
Ga  0.000  0.000  0.000
Er  0.250  0.250  0.250
Mn  0.500  0.500  0.500
Gd  0.750  0.750  0.750

## Properties
**Total energy**: -7.85 eV/atom
**Energy of formation**: -0.6 eV/f.u.

[4]
Material: PrGdErGa
Method: DFT, PBE-GGA
State: relaxed

Cell lengths 5.397, 5.397, 5.397 Å; angles 60.00, 60.00, 60.00 degrees
Fractional positions:
Gd  0.500  0.500  0.500
Ga  0.250  0.250  0.250
Er  0.750  0.750  0.750
Pr  0.000  0.000  0.000

## Properties
**Total energy**: -6.73 eV/atom
**Energy of formation**: -0.5 eV/f.u.

[5]
Material: GdErGaRh
Method: DFT, PBE-GGA
State: relaxed

Cell lengths 4.966, 4.966, 4.966 Å; angles 60.00, 60.00, 60.00 degrees
Fractional positions:
Er  0.500  0.500  0.500
Ga  0.250  0.250  0.250
Gd  0.000  0.000  0.000
Rh  0.750  0.750  0.750

## Properties
**Total energy**: -7.93 eV/atom
**Energy of formation**: -2.7 eV/f.u.

[6]
Material: GdErGaRu
Method: DFT, PBE-GGA
State: relaxed

Cell lengths 4.933, 4.933, 4.933 Å; angles 60.00, 60.00, 60.00 degrees
Fractional positions:
Gd  0.500  0.500  0.500
Ru  0.750  0.750  0.750
Er  0.000  0.000  0.000
Ga  0.250  0.250  0.250

## Properties
**Total energy**: -8.18 eV/atom
**Energy of formation**: -1.8 eV/f.u.

[7]
Material: SmGdErGa
Method: DFT, PBE-GGA
State: relaxed

Cell lengths 5.355, 5.355, 5.355 Å; angles 60.00, 60.00, 60.00 degrees
Fractional positions:
Ga  0.250  0.250  0.250
Gd  0.000  0.000  0.000
Er  0.750  0.750  0.750
Sm  0.500  0.500  0.500

## Properties
**Total energy**: -6.71 eV/atom
**Energy of formation**: -0.5 eV/f.u.

[8]
Material: GdErGaTc
Method: DFT, PBE-GGA
State: relaxed

Cell lengths 4.948, 4.948, 4.948 Å; angles 60.00, 60.00, 60.00 degrees
Fractional positions:
Ga  0.250  0.250  0.250
Tc  0.750  0.750  0.750
Gd  0.500  0.500  0.500
Er  0.000  0.000  0.000

## Properties
**Total energy**: -8.24 eV/atom
**Energy of formation**: -0.9 eV/f.u.

[9]
Material: GdErTlGa
Method: DFT, PBE-GGA
State: relaxed

Cell lengths 5.231, 5.231, 5.231 Å; angles 60.00, 60.00, 60.00 degrees
Fractional positions:
Er  0.000  0.000  0.000
Tl  0.750  0.750  0.750
Gd  0.500  0.500  0.500
Ga  0.250  0.250  0.250

## Properties
**Total energy**: -6.44 eV/atom
**Energy of formation**: -1.7 eV/f.u.

[10]
Material: GdErZnGa
Method: DFT, PBE-GGA
State: relaxed

Cell lengths 5.057, 5.057, 5.057 Å; angles 60.00, 60.00, 60.00 degrees
Fractional positions:
Zn  0.750  0.750  0.750
Ga  0.250  0.250  0.250
Gd  0.500  0.500  0.500
Er  0.000  0.000  0.000

## Properties
**Total energy**: -6.22 eV/atom
**Energy of formation**: -1.9 eV/f.u.

[11]
Material: ErGaGe2
Method: DFT, PBE-GGA
State: relaxed

Cell lengths 4.092, 4.092, 9.357 Å; angles 90.00, 90.00, 90.00 degrees
Fractional positions:
Ge  0.500  0.000  0.213
Ge  0.000  0.500  0.787
Ge  0.000  0.000  0.500
Ge  0.500  0.500  0.500
Ga  0.500  0.500  0.000
Ga  0.000  0.000  0.000
Er  0.000  0.500  0.261
Er  0.500  0.000  0.739

## Properties
**Total energy**: -4.63 eV/atom
**E above lowest polymorph**: 0.020 eV per atom
**Energy of formation**: -1.7 eV/f.u.

[12]
Material: Er4GaGe
Method: DFT, PBE-GGA
State: relaxed

Cell lengths 5.677, 7.174, 8.561 Å; angles 90.00, 90.00, 101.60 degrees
Fractional positions:
Er  0.408  0.495  0.250
Er  0.006  0.246  0.558
Er  0.592  0.505  0.750
Er  0.563  0.017  0.250
Er  0.006  0.246  0.942
Er  0.994  0.754  0.058
Er  0.994  0.754  0.442
Er  0.437  0.983  0.750
Ge  0.913  0.905  0.750
Ge  0.087  0.095  0.250
Ga  0.876  0.407  0.250
Ga  0.124  0.593  0.750

## Properties
**Total energy**: -4.62 eV/atom
**Energy of formation**: -1.8 eV/f.u.

[13]
Material: Er2Ga3Ge3
Method: DFT, PBE-GGA
State: relaxed

Cell lengths 4.228, 4.396, 8.381 Å; angles 90.00, 90.00, 90.00 degrees
Fractional positions:
Er  0.000  0.000  0.252
Er  0.000  0.000  0.748
Ga  0.500  0.500  0.757
Ga  0.000  0.500  0.000
Ga  0.500  0.500  0.243
Ge  0.500  0.000  0.500
Ge  0.500  0.000  0.000
Ge  0.000  0.500  0.500

## Properties
**Total energy**: -4.47 eV/atom
**Energy of formation**: -3.7 eV/f.u.

[14]
Material: Er3Ga2Ge
Method: DFT, PBE-GGA
State: relaxed

Cell lengths 4.062, 11.742, 11.777 Å; angles 90.00, 90.00, 90.00 degrees
Fractional positions:
Er  0.750  0.292  0.788
Er  0.750  0.208  0.288
Er  0.250  0.708  0.212
Er  0.250  0.792  0.712
Er  0.750  0.555  0.619
Er  0.750  0.878  0.443
Er  0.750  0.622  0.943
Er  0.750  0.945  0.119
Er  0.250  0.445  0.381
Er  0.250  0.055  0.881
Er  0.250  0.122  0.557
Er  0.250  0.378  0.057
Ge  0.750  0.871  0.869
Ge  0.750  0.629  0.369
Ge  0.250  0.371  0.631
Ge  0.250  0.129  0.131
Ga  0.250  0.001  0.314
Ga  0.250  0.807  0.990
Ga  0.750  0.193  0.010
Ga  0.750  0.307  0.510
Ga  0.250  0.693  0.490
Ga  0.750  0.999  0.686
Ga  0.750  0.501  0.186
Ga  0.250  0.499  0.814

## Properties
**Total energy**: -4.68 eV/atom
**Energy of formation**: -3.7 eV/f.u.

[15]
Material: Er4Ga5Ge2
Method: DFT, PBE-GGA
State: relaxed

Cell lengths 4.217, 6.974, 7.954 Å; angles 91.66, 90.00, 90.00 degrees
Fractional positions:
Er  0.500  0.243  0.395
Er  0.500  0.222  0.867
Er  0.500  0.757  0.605
Er  0.500  0.778  0.133
Ga  0.000  0.541  0.337
Ga  0.000  0.868  0.880
Ga  0.000  0.500  0.000
Ga  0.000  0.459  0.663
Ga  0.000  0.132  0.120
Ge  0.000  0.911  0.365
Ge  0.000  0.089  0.635

## Properties
**Total energy**: -4.48 eV/atom
**Energy of formation**: -6.7 eV/f.u.

[16]
Material: Er2Ga3Ge
Method: DFT, PBE-GGA
State: relaxed

Cell lengths 4.019, 4.197, 7.240 Å; angles 90.00, 90.00, 90.00 degrees
Fractional positions:
Ga  0.500  0.000  0.830
Ga  0.500  0.500  0.671
Ga  0.500  0.000  0.162
Er  0.000  0.500  0.004
Er  0.000  0.000  0.497
Ge  0.500  0.500  0.336

## Properties
**Total energy**: -4.41 eV/atom
**Energy of formation**: -3.6 eV/f.u.

[17]
Material: Er8Ga2Ge
Method: DFT, PBE-GGA
State: relaxed

Cell lengths 4.875, 6.581, 9.594 Å; angles 102.09, 104.72, 90.00 degrees
Fractional positions:
Er  0.028  0.772  0.056
Er  0.972  0.228  0.944
Er  0.657  0.980  0.313
Er  0.343  0.020  0.687
Er  0.787  0.681  0.574
Er  0.591  0.457  0.182
Er  0.213  0.319  0.426
Er  0.409  0.543  0.818
Ga  0.187  0.757  0.374
Ga  0.813  0.243  0.626
Ge  0.500  0.000  0.000

## Properties
**Total energy**: -4.64 eV/atom
**Energy of formation**: -3.9 eV/f.u.

[18]
Material: Er4Ga12Ge
Method: DFT, PBE-GGA
State: relaxed

Cell lengths 7.558, 7.558, 7.558 Å; angles 109.47, 109.47, 109.47 degrees
Fractional positions:
Ga  0.500  0.250  0.750
Ga  0.750  0.500  0.250
Ga  0.306  0.000  0.306
Ga  0.694  0.000  0.694
Ga  0.250  0.500  0.750
Ga  0.306  0.306  0.000
Ga  0.694  0.694  0.000
Ga  0.750  0.250  0.500
Ga  0.250  0.750  0.500
Ga  0.000  0.306  0.306
Ga  0.000  0.694  0.694
Ga  0.500  0.750  0.250
Ge  0.000  0.000  0.000
Er  0.500  0.000  0.000
Er  0.000  0.500  0.000
Er  0.500  0.500  0.500
Er  0.000  0.000  0.500

## Properties
**Total energy**: -3.91 eV/atom
**Energy of formation**: -7.3 eV/f.u.

[19]
Material: Er3GaGe2
Method: DFT, PBE-GGA
State: relaxed

Cell lengths 4.159, 11.414, 11.498 Å; angles 90.00, 90.00, 90.00 degrees
Fractional positions:
Er  0.250  0.802  0.705
Er  0.250  0.438  0.374
Er  0.750  0.621  0.946
Er  0.250  0.698  0.205
Er  0.750  0.879  0.446
Er  0.750  0.302  0.795
Er  0.250  0.121  0.554
Er  0.750  0.938  0.126
Er  0.750  0.198  0.295
Er  0.750  0.562  0.626
Er  0.250  0.379  0.054
Er  0.250  0.062  0.874
Ge  0.250  0.687  0.487
Ge  0.250  0.813  0.987
Ge  0.250  0.504  0.815
Ge  0.750  0.496  0.185
Ge  0.750  0.313  0.513
Ge  0.250  0.996  0.315
Ge  0.750  0.187  0.013
Ge  0.750  0.004  0.685
Ga  0.750  0.866  0.865
Ga  0.250  0.134  0.135
Ga  0.250  0.366  0.635
Ga  0.750  0.634  0.365

## Properties
**Total energy**: -5.05 eV/atom
**Energy of formation**: -4.4 eV/f.u.

[20]
Material: Er2GaGe3
Method: DFT, PBE-GGA
State: relaxed

Cell lengths 5.102, 7.552, 7.552 Å; angles 111.34, 90.00, 90.00 degrees
Fractional positions:
Er  0.250  0.831  0.540
Er  0.750  0.169  0.460
Er  0.250  0.540  0.831
Er  0.750  0.460  0.169
Ge  0.250  0.421  0.421
Ge  0.500  0.826  0.174
Ge  0.000  0.174  0.826
Ge  0.000  0.826  0.174
Ge  0.500  0.174  0.826
Ge  0.750  0.579  0.579
Ga  0.750  0.868  0.868
Ga  0.250  0.132  0.132

## Properties
**Total energy**: -4.69 eV/atom
**Energy of formation**: -2.1 eV/f.u.

[21]
Material: Er2Ga2Ge
Method: DFT, PBE-GGA
State: relaxed

Cell lengths 4.192, 5.788, 9.723 Å; angles 78.78, 77.55, 68.77 degrees
Fractional positions:
Er  0.516  0.650  0.318
Er  0.686  0.739  0.889
Er  0.484  0.350  0.682
Er  0.314  0.261  0.111
Ge  0.804  0.071  0.320
Ge  0.196  0.929  0.680
Ga  0.043  0.814  0.101
Ga  0.957  0.186  0.899
Ga  0.857  0.728  0.558
Ga  0.143  0.272  0.442

## Properties
**Total energy**: -4.58 eV/atom
**Energy of formation**: -3.1 eV/f.u.

[22]
Material: ErGa2Ge
Method: DFT, PBE-GGA
State: relaxed

Cell lengths 4.443, 4.443, 5.523 Å; angles 66.28, 66.28, 60.00 degrees
Fractional positions:
Er  0.500  0.500  0.500
Ga  0.722  0.722  0.834
Ga  0.278  0.278  0.166
Ge  0.000  0.000  0.000

## Properties
**Total energy**: -4.05 eV/atom
**E above lowest polymorph**: 0.245 eV per atom
**Energy of formation**: -1.0 eV/f.u.

[23]
Material: ErGaGe2
Method: DFT, PBE-GGA
State: relaxed

Cell lengths 4.495, 4.495, 5.420 Å; angles 65.50, 65.50, 60.00 degrees
Fractional positions:
Er  0.500  0.500  0.500
Ge  0.720  0.720  0.841
Ge  0.280  0.280  0.159
Ga  0.000  0.000  0.000

## Properties
**Total energy**: -4.45 eV/atom
**E above lowest polymorph**: 0.193 eV per atom
**Energy of formation**: -1.0 eV/f.u.

[24]
Material: ErGa2Ge
Method: DFT, PBE-GGA
State: relaxed

Cell lengths 4.473, 4.167, 4.167 Å; angles 90.00, 90.00, 90.00 degrees
Fractional positions:
Ga  0.000  0.500  0.000
Ga  0.000  0.000  0.500
Ge  0.500  0.000  0.000
Er  0.500  0.500  0.500

## Properties
**Total energy**: -4.30 eV/atom
**E above lowest polymorph**: 0.000 eV per atom
**Energy of formation**: -1.9 eV/f.u.